No. 1
A plane-wave DFT calculation with GGA-PBE was carried out for Zr2CoTcH after structural relaxation.

The value obtained for the volume is 14.1 A^3/atom. Its size of the total moment is 0.0 μB/f.u. The uncorrected energy is -7.95 eV per atom.

It has space group P4/mmm (No. 123), with a = 4.566 Å, b = 4.566 Å, c = 3.378 Å, α = 90.00°, β = 90.00° and γ = 90.00°. The distinct sites, in fractional coordinates, are Zr at (0.000, 0.500, 0.000), Co at (0.000, 0.000, 0.500), Tc at (0.500, 0.500, 0.500) and H at (0.000, 0.000, 0.000).


No. 2
A plane-wave DFT calculation with GGA-PBE was carried out for Co2TeH after structural relaxation.

The value obtained for the volume is 12.1 A^3/atom. Its size of the total moment is 1.1 μB/f.u. The uncorrected energy is -4.63 eV per atom.

It has space group Fm-3m (No. 225), with a = 5.792 Å, b = 5.792 Å, c = 5.792 Å, α = 90.00°, β = 90.00° and γ = 90.00°. The distinct sites, in fractional coordinates, are Co at (0.250, 0.250, 0.250), Te at (0.000, 0.000, 0.000) and H at (0.000, 0.000, 0.500).


No. 3
A plane-wave DFT calculation with GGA-PBE was carried out for Co2TeH after structural relaxation.

The value obtained for the volume is 12.6 A^3/atom. Its size of the total moment is 1.2 μB/f.u. The uncorrected energy is -4.99 eV per atom.

It has space group I-42d (No. 122), with a = 4.619 Å, b = 4.619 Å, c = 9.438 Å, α = 90.00°, β = 90.00° and γ = 90.00°. The distinct sites, in fractional coordinates, are Co at (0.098, 0.250, 0.125), Te at (0.000, 0.000, 0.500) and H at (0.000, 0.000, 0.000).


No. 4
A plane-wave DFT calculation with GGA-PBE was carried out for CoTeH3 after structural relaxation.

The value obtained for the volume is 12.3 A^3/atom. Its size of the total moment is 2.4 μB/f.u. The uncorrected energy is -2.84 eV per atom.

It has space group Pm-3m (No. 221), with a = 3.951 Å, b = 3.951 Å, c = 3.951 Å, α = 90.00°, β = 90.00° and γ = 90.00°. The distinct sites, in fractional coordinates, are Co at (0.000, 0.000, 0.000), Te at (0.500, 0.500, 0.500) and H at (0.000, 0.500, 0.500).


No. 5
A plane-wave DFT calculation with GGA-PBE was carried out for CoTeH3 after structural relaxation.

The value obtained for the volume is 8.9 A^3/atom. Its size of the total moment is 0.5 μB/f.u. The uncorrected energy is -3.47 eV per atom.

It has space group Pm-3m (No. 221), with a = 3.547 Å, b = 3.547 Å, c = 3.547 Å, α = 90.00°, β = 90.00° and γ = 90.00°. The distinct sites, in fractional coordinates, are Co at (0.000, 0.000, 0.000), Te at (0.500, 0.500, 0.500) and H at (0.000, 0.000, 0.500).


No. 6
A plane-wave DFT calculation with GGA-PBE was carried out for V2CoTeH after structural relaxation.

The value obtained for the volume is 12.4 A^3/atom. Its size of the total moment is 0.1 μB/f.u. The uncorrected energy is -6.14 eV per atom.

It has space group P4/mmm (No. 123), with a = 3.658 Å, b = 3.658 Å, c = 4.619 Å, α = 90.00°, β = 90.00° and γ = 90.00°. The distinct sites, in fractional coordinates, are V at (0.000, 0.500, 0.000), Co at (0.000, 0.000, 0.500), Te at (0.500, 0.500, 0.500) and H at (0.500, 0.500, 0.000).


No. 7
A plane-wave DFT calculation with GGA-PBE was carried out for ZnCoTeH2 after structural relaxation.

The value obtained for the volume is 13.8 A^3/atom. Its size of the total moment is 1.7 μB/f.u. The uncorrected energy is -3.06 eV per atom.

It has space group P4/mmm (No. 123), with a = 3.691 Å, b = 3.691 Å, c = 5.075 Å, α = 90.00°, β = 90.00° and γ = 90.00°. The distinct sites, in fractional coordinates, are Zn at (0.000, 0.000, 0.000), Co at (0.000, 0.000, 0.500), Te at (0.500, 0.500, 0.000) and H at (0.000, 0.500, 0.500).


No. 8
A plane-wave DFT calculation with GGA-PBE was carried out for ThCo2H4 after structural relaxation.

The value obtained for the volume is 9.6 A^3/atom. Its size of the total moment is 1.4 μB/f.u. The uncorrected energy is -5.25 eV per atom.

It has space group Cccm (No. 66), with a = 4.345 Å, b = 7.327 Å, c = 8.487 Å, α = 90.00°, β = 90.00° and γ = 90.00°. The distinct sites, in fractional coordinates, are Th at (0.000, 0.000, 0.250), Co at (0.006, 0.332, 0.000), H at (0.152, 0.117, 0.500) and H at (0.250, 0.250, 0.135).


No. 9
A plane-wave DFT calculation with GGA-PBE was carried out for ThCoH after structural relaxation.

The value obtained for the volume is 14.8 A^3/atom. Its size of the total moment is 0.0 μB/f.u. The uncorrected energy is -6.29 eV per atom.

It has space group P-1 (No. 2), with a = 3.548 Å, b = 4.666 Å, c = 5.641 Å, α = 89.88°, β = 72.07° and γ = 89.54°. The distinct sites, in fractional coordinates, are Th at (0.136, 0.250, 0.228), Co at (0.412, 0.250, 0.675) and H at (0.101, 0.750, 0.298).


No. 10
A plane-wave DFT calculation with GGA-PBE was carried out for ThCoH after structural relaxation.

The value obtained for the volume is 14.9 A^3/atom. Its size of the total moment is 0.0 μB/f.u. The uncorrected energy is -6.04 eV per atom.

It has space group P-6m2 (No. 187), with a = 3.8368 Å, b = 3.8368 Å, c = 3.5080 Å, α = 90.00°, β = 90.00° and γ = 120.00°. The distinct sites, in fractional coordinates, are Th at (0.0000, 0.0000, 0.0000), Co at (0.6667, 0.3333, 0.5000) and H at (0.3333, 0.6667, 0.5000).


No. 11
A plane-wave DFT calculation with GGA-PBE was carried out for ThCo2H8 after structural relaxation.

The value obtained for the volume is 7.6 A^3/atom. Its size of the total moment is 0.0 μB/f.u. The uncorrected energy is -4.51 eV per atom.

It has space group Cmmm (No. 65), with a = 5.087 Å, b = 9.148 Å, c = 3.613 Å, α = 90.00°, β = 90.00° and γ = 90.00°. The distinct sites, in fractional coordinates, are Th at (0.000, 0.000, 0.000), Co at (0.000, 0.244, 0.500), H at (0.000, 0.252, 0.000), H at (0.000, 0.500, 0.111) and H at (0.250, 0.131, 0.500).


No. 12
A plane-wave DFT calculation with GGA-PBE was carried out for ThCoH after structural relaxation.

The value obtained for the volume is 15.2 A^3/atom. Its size of the total moment is 0.0 μB/f.u. The uncorrected energy is -6.18 eV per atom.

It has space group Pbca (No. 61), with a = 5.058 Å, b = 12.844 Å, c = 5.631 Å, α = 90.00°, β = 90.00° and γ = 90.00°. The distinct sites, in fractional coordinates, are Th at (0.118, 0.137, 0.033), Co at (0.138, 0.054, 0.631) and H at (0.122, 0.165, 0.486).